(1)
This record from the Alexandria database describes a relaxed ScFeAs3 crystal. The functional is PBE.

Properties
As for the space group: Pm-3m, No. 221. The formation energy comes out at 0.07 eV/atom. As for the final energy: -28.39 eV per cell.

a b c (Å): 4.6570 4.6570 4.6570
angles (deg): 90.00 90.00 90.00
Last column: magnetic moment on the atom in μB.
Element x y z (fractional)
Sc (0.5000, 0.5000, 0.5000)  0.24
As (0.0000, 0.5000, 0.0000)  0.02
As (0.0000, 0.0000, 0.5000)  0.01
As (0.5000, 0.0000, 0.0000)  0.03
Fe (0.0000, 0.0000, 0.0000)  1.96

(2)
This record from the Alexandria database describes a relaxed VReSeBr2 crystal. The functional is PBE.

Properties
As for the space group: P4/mmm, No. 123. As for the final energy: -23.54 eV per cell.

a b c (Å): 5.1172 5.1172 4.8799
angles (deg): 90.00 90.00 90.00
Last column: magnetic moment on the atom in μB.
Element x y z (fractional)
Re (0.5000, 0.5000, 0.5000)  4.28
Se (0.0000, 0.0000, 0.5000)  -0.02
Br (0.0000, 0.5000, 0.0000)  0.08
Br (0.5000, 0.0000, 0.0000)  0.08
V (0.0000, 0.0000, 0.0000)  0.61

(3)
This record from the Alexandria database describes a relaxed SiPb2Au crystal. The functional is PBE.

Properties
As for the space group: F-43m, No. 216. As for the final energy: -14.64 eV per cell.

a b c (Å): 5.1526 5.1526 5.1526
angles (deg): 60.00 60.00 60.00
Element x y z (fractional)
Au (0.5000, 0.5000, 0.5000)
Pb (0.0000, 0.0000, 0.0000)
Pb (0.2500, 0.2500, 0.2500)
Si (0.7500, 0.7500, 0.7500)

(4)
This record from the Alexandria database describes a relaxed Tm5ZrSc2 crystal. The functional is PBE.

Properties
As for the space group: Cmcm, No. 63. The formation energy comes out at 0.12 eV/atom. As for the final energy: -85.20 eV per cell.

a b c (Å): 5.2793 6.2606 14.9979
angles (deg): 90.00 90.00 114.94
Element x y z (fractional)
Tm (0.9315, 0.8629, 0.8966)
Tm (0.9315, 0.8629, 0.6034)
Tm (0.3670, 0.7341, 0.4524)
Tm (0.3670, 0.7341, 0.0476)
Tm (0.5322, 0.0644, 0.2500)
Tm (0.4678, 0.9356, 0.7500)
Tm (0.6330, 0.2659, 0.5476)
Tm (0.6330, 0.2659, 0.9524)
Tm (0.0685, 0.1371, 0.1034)
Tm (0.0685, 0.1371, 0.3966)
Zr (0.7370, 0.4740, 0.7500)
Zr (0.2630, 0.5260, 0.2500)
Sc (0.7742, 0.5484, 0.3590)
Sc (0.7742, 0.5484, 0.1410)
Sc (0.2258, 0.4516, 0.6410)
Sc (0.2258, 0.4516, 0.8590)

(5)
This record from the Alexandria database describes a relaxed SrCaLa2 crystal. The functional is PBE.

Properties
As for the space group: Pmmm, No. 47. The formation energy comes out at 0.13 eV/atom. As for the final energy: -13.00 eV per cell.

a b c (Å): 4.1531 6.1815 6.4643
angles (deg): 90.00 90.00 90.00
Element x y z (fractional)
Sr (0.5000, 0.0000, 0.5000)
Ca (0.0000, 0.5000, 0.5000)
La (0.0000, 0.0000, 0.0000)
La (0.5000, 0.5000, 0.0000)

(6)
This record from the Alexandria database describes a relaxed URhSe2 crystal. The functional is PBE.

Properties
As for the space group: R-3m, No. 166. As for the final energy: -26.08 eV per cell.

a b c (Å): 3.2429 3.2429 9.2381
angles (deg): 79.89 79.89 60.00
Last column: magnetic moment on the atom in μB.
Element x y z (fractional)
Rh (0.0000, 0.0000, 0.0000)  -0.11
U (0.5000, 0.5000, 0.5000)  0.62
Se (0.0877, 0.0877, 0.7369)  -0.02
Se (0.9123, 0.9123, 0.2631)  -0.02

(7)
This record from the Alexandria database describes a relaxed Mg5Tl4Ga crystal. The functional is PBE.

Properties
As for the space group: P4/mmm, No. 123. The formation energy comes out at -0.05 eV/atom. As for the final energy: -21.00 eV per cell.

a b c (Å): 3.5737 3.5737 18.5831
angles (deg): 90.00 90.00 90.00
Element x y z (fractional)
Mg (0.5000, 0.5000, 0.0855)
Mg (0.5000, 0.5000, 0.2917)
Mg (0.5000, 0.5000, 0.5000)
Mg (0.5000, 0.5000, 0.7083)
Mg (0.5000, 0.5000, 0.9145)
Tl (0.0000, 0.0000, 0.1895)
Tl (0.0000, 0.0000, 0.3959)
Tl (0.0000, 0.0000, 0.6041)
Tl (0.0000, 0.0000, 0.8105)
Ga (0.0000, 0.0000, 0.0000)

(8)
This record from the Alexandria database describes a relaxed ScCdH2 crystal. The functional is PBE.

Properties
As for the space group: I-42d, No. 122. As for the final energy: -29.07 eV per cell.

a b c (Å): 4.6180 4.6180 6.0791
angles (deg): 67.68 67.68 90.00
Element x y z (fractional)
Sc (0.5000, 0.5000, 0.0000)
Sc (0.2500, 0.7500, 0.5000)
H (0.5438, 0.1250, 0.2500)
H (0.2062, 0.6250, 0.2500)
H (0.3750, 0.4562, 0.7500)
H (0.8750, 0.7938, 0.7500)
Cd (0.0000, 0.0000, 0.0000)
Cd (0.7500, 0.2500, 0.5000)

Size of the total moment: 2.473; 6.176; 0.000; 0.000; 0.000; 0.504; 0.000; 0.000 (μB/cell)